(1)
The following is a DFT calculation (GGA-PBE) of a relaxed NaCuRhO3 crystal.

a = 3.191 Å, b = 12.856 Å, c = 7.819 Å
α = 90.00°, β = 90.00°, γ = 90.00°
Space group Cmcm (No. 63)
Asymmetric unit:
Na  0.000  0.173  0.250 [4 per cell]
Cu  0.000  0.121  0.750 [4 per cell]
Rh  0.000  0.500  0.000 [4 per cell]
O  0.000  0.105  0.521 [8 per cell]
O  0.000  0.458  0.750 [4 per cell]

Properties
- Formation energy without anion corrections: -0.761 eV per atom

=====

(2)
The following is a DFT calculation (GGA-PBE) of a relaxed KMgBe2 crystal.

a = 3.776 Å, b = 4.180 Å, c = 14.117 Å
α = 83.88°, β = 89.56°, γ = 63.25°
Space group P1 (No. 1)
Asymmetric unit:
K  0.000  0.000  0.000 [1 per cell]
K  0.360  0.314  0.291 [1 per cell]
Mg  0.096  0.814  0.506 [1 per cell]
Mg  0.649  0.692  0.784 [1 per cell]
Be  0.279  0.436  0.691 [1 per cell]
Be  0.466  0.069  0.600 [1 per cell]
Be  0.762  0.475  0.599 [1 per cell]
Be  0.983  0.030  0.691 [1 per cell]

Properties
- Energy of formation from the pure elements: 0.28 eV/atom

=====

(3)
The following is a DFT calculation (GGA-PBE) of a relaxed BiP2IrO crystal.

a = 5.158 Å, b = 5.158 Å, c = 3.994 Å
α = 90.00°, β = 90.00°, γ = 90.00°
Space group P4/mmm (No. 123)
Asymmetric unit:
Bi  0.000  0.000  0.000 [1 per cell]
P  0.000  0.500  0.000 [2 per cell]
Ir  0.500  0.500  0.500 [1 per cell]
O  0.000  0.000  0.500 [1 per cell]

Properties
- Formation energy without anion corrections: 1.387 eV per atom
- Distance to the lowest polymorph of the same formula: 1.292 eV/atom

=====

(4)
The following is a DFT calculation (GGA-PBE) of a relaxed CeHfCu4 crystal.

a = 7.273 Å, b = 7.273 Å, c = 7.273 Å
α = 90.00°, β = 90.00°, γ = 90.00°
Space group F-43m (No. 216)
Asymmetric unit:
Ce  0.000  0.000  0.000 [4 per cell]
Hf  0.250  0.250  0.750 [4 per cell]
Cu  0.124  0.124  0.376 [16 per cell]

Properties
- Energy of formation from the pure elements: -0.04 eV/atom

=====

(5)
The following is a DFT calculation (GGA-PBE) of a relaxed BAs2CBr crystal.

a = 4.063 Å, b = 4.063 Å, c = 7.652 Å
α = 90.00°, β = 90.00°, γ = 90.00°
Space group P4/mmm (No. 123)
Asymmetric unit:
B  0.000  0.000  0.000 [1 per cell]
As  0.000  0.500  0.500 [2 per cell]
C  0.500  0.500  0.500 [1 per cell]
Br  0.500  0.500  0.000 [1 per cell]

Properties
- Formation energy without anion corrections: 1.798 eV per atom
- Distance to the lowest polymorph of the same formula: 0.000 eV/atom

=====

(6)
The following is a DFT calculation (GGA-PBE) of a relaxed CdInCS2 crystal.

a = 5.018 Å, b = 5.018 Å, c = 5.714 Å
α = 90.00°, β = 90.00°, γ = 90.00°
Space group P4/mmm (No. 123)
Asymmetric unit:
Cd  0.000  0.000  0.000 [1 per cell]
In  0.000  0.000  0.500 [1 per cell]
C  0.500  0.500  0.000 [1 per cell]
S  0.000  0.500  0.500 [2 per cell]

Properties
- Formation energy without anion corrections: 1.745 eV per atom

=====

Q: Which size of the total moment values were calculated for the entries above? A: 2.380; 0.000; 0.043; 0.000; 0.000; 1.160, in Bohr magnetons per cell.